(i)
# CeYS2 PBE relaxed
data_CeYS2
_cell_length_a 3.8782
_cell_length_b 3.8782
_cell_length_c 20.8949
_cell_angle_alpha 90.00
_cell_angle_beta 90.00
_cell_angle_gamma 120.00
_space_group_name_H-M_alt 'R 3 m'
_space_group_IT_number 160
_space_group_name_Hall 'R 3 -2"'
loop_
_atom_site_label
_atom_site_type_symbol
_atom_site_fract_x
_atom_site_fract_y
_atom_site_fract_z
Ce1 Ce 0.0000 0.0000 0.0000
Y1 Y 0.0000 0.0000 0.1759
S1 S 0.0000 0.0000 0.5830
S2 S 0.0000 0.0000 0.7598
# Fermi-level density of states = 6.63 states/eV/f.u.
# crystal system = trigonal



(ii)
# CeYS2 PBE relaxed
data_CeYS2
_cell_length_a 3.9546
_cell_length_b 3.9546
_cell_length_c 19.6458
_cell_angle_alpha 90.00
_cell_angle_beta 90.00
_cell_angle_gamma 120.00
_space_group_name_H-M_alt 'R -3 m'
_space_group_IT_number 166
_space_group_name_Hall '-R 3 2"'
loop_
_atom_site_label
_atom_site_type_symbol
_atom_site_fract_x
_atom_site_fract_y
_atom_site_fract_z
Ce1 Ce 0.0000 0.0000 0.0000
Y1 Y 0.0000 0.0000 0.5000
S1 S 0.0000 0.0000 0.2464
# Fermi-level density of states = 5.62 states/eV/f.u.
# crystal system = trigonal



Verdict on stability: (ii) comes out on top.



(i)
# CeYS3 PBE relaxed
data_CeYS3
_cell_length_a 7.404
_cell_length_b 3.983
_cell_length_c 15.291
_cell_angle_alpha 90.00
_cell_angle_beta 90.00
_cell_angle_gamma 90.00
_space_group_name_H-M_alt 'P n m a'
_space_group_IT_number 62
loop_
_space_group_symop_operation_xyz
'x,y,z'
'-x,-y,-z'
'-x+1/2,-y,z+1/2'
'x+1/2,y,-z+1/2'
'x+1/2,-y+1/2,-z+1/2'
'-x+1/2,y+1/2,z+1/2'
'-x,y+1/2,-z'
'x,-y+1/2,z'
loop_
_atom_site_label
_atom_site_type_symbol
_atom_site_fract_x
_atom_site_fract_y
_atom_site_fract_z
Ce1 Ce 0.139 0.250 0.203
Y1 Y 0.233 0.750 0.456
S1 S 0.011 0.250 0.394
S2 S 0.125 0.750 0.064
S3 S 0.149 0.250 0.782
# Fermi-level density of states = 5.83 states/eV/f.u.
# crystal system = orthorhombic



(ii)
# CeYS3 PBE relaxed
data_CeYS3
_cell_length_a 9.533
_cell_length_b 6.797
_cell_length_c 7.919
_cell_angle_alpha 90.00
_cell_angle_beta 114.46
_cell_angle_gamma 90.00
_space_group_name_H-M_alt 'P 1 21/c 1'
_space_group_IT_number 14
loop_
_space_group_symop_operation_xyz
'x,y,z'
'-x,-y,-z'
'-x,y+1/2,-z+1/2'
'x,-y+1/2,z+1/2'
loop_
_atom_site_label
_atom_site_type_symbol
_atom_site_fract_x
_atom_site_fract_y
_atom_site_fract_z
Ce1 Ce 0.152 0.229 0.201
Y1 Y 0.399 0.749 0.824
S1 S 0.068 0.716 0.661
S2 S 0.332 0.020 0.547
S3 S 0.333 0.021 0.036
# Fermi-level density of states = 5.96 states/eV/f.u.
# crystal system = monoclinic



Verdict on stability: (i) comes out on top.